Density functional theory data (PBEsol) for RhAu4 after structural relaxation.

Cell and atoms, written as POSCAR:
```
RhAu4
1.0
-2.246 -1.123 -3.162
-2.782 -3.968 0.806
-4.455 2.066 -0.147
Rh Au
1 4
Direct
0.000 0.000 0.000 Rh
0.202 0.196 0.400 Au
0.398 0.400 0.804 Au
0.602 0.600 0.196 Au
0.798 0.804 0.600 Au
```

DFT total energy ... -4.665 eV/atom
Total magnetization ... 0.00 μB/cell
Crystal system ... tetragonal